Density functional theory data (PBE-GGA) for an optimized crystal structure of AcTlHg2.

Properties
- Space-group type: P4/mmm, No. 123
- Energy above the lowest structure with this stoichiometry: 61 meV/atom
- DFT total energy: -2.101 eV/atom
- Energy of formation: -0.33 eV/atom

Cell: 4.507 5.162 5.162 Å, 90.00 90.00 90.00°
Fractional coordinates of all 4 atoms:
1 Ac 0.500 0.500 0.500
2 Tl 0.500 0.000 0.000
3 Hg 0.000 0.000 0.500
4 Hg 0.000 0.500 0.000